First-principles (PBE-GGA) data for Pa2NbGe4Ir3 after structural relaxation, as listed in Alexandria via LeMat-Bulk.

Values from the calculation:
space group = P-4m2, No. 115
formation energy = -0.560 eV/atom

```
Pa2NbGe4Ir3
1.0
4.1671 0.0000 0.0000
0.0000 4.1671 0.0000
0.0000 0.0000 10.7105
Pa Nb Ge Ir
2 1 4 3
Direct
0.0000 0.5000 0.2411
0.5000 0.0000 0.7589
0.0000 0.0000 0.5000
0.0000 0.0000 0.0000
0.0000 0.5000 0.6454
0.5000 0.0000 0.3546
0.5000 0.5000 0.0000
0.0000 0.5000 0.8714
0.5000 0.0000 0.1286
0.5000 0.5000 0.5000
```

---

First-principles (PBE-GGA) data for NbGe2IrPd after structural relaxation, as listed in Alexandria via LeMat-Bulk.

Values from the calculation:
space group = P4/mmm, No. 123
formation energy = 1.054 eV/atom

```
NbGe2IrPd
1.0
4.5172 0.0000 0.0000
0.0000 4.5172 0.0000
0.0000 0.0000 5.1329
Nb Ge Ir Pd
1 2 1 1
Direct
0.0000 0.0000 0.0000
0.0000 0.5000 0.5000
0.5000 0.0000 0.5000
0.5000 0.5000 0.0000
0.0000 0.0000 0.5000
```

---

First-principles (PBE-GGA) data for Pm2NbGe4Ir3 after structural relaxation, as listed in Alexandria via LeMat-Bulk.

Values from the calculation:
space group = P-4m2, No. 115
formation energy = -0.678 eV/atom

```
Pm2NbGe4Ir3
1.0
4.2197 0.0000 0.0000
0.0000 4.2197 0.0000
0.0000 0.0000 10.7567
Pm Nb Ge Ir
2 1 4 3
Direct
0.0000 0.5000 0.2402
0.5000 0.0000 0.7598
0.0000 0.0000 0.5000
0.0000 0.0000 0.0000
0.0000 0.5000 0.6469
0.5000 0.0000 0.3531
0.5000 0.5000 0.0000
0.0000 0.5000 0.8766
0.5000 0.0000 0.1234
0.5000 0.5000 0.5000
```

---

First-principles (PBE-GGA) data for Nb2GeIrPt after structural relaxation, as listed in Alexandria via LeMat-Bulk.

Values from the calculation:
space group = P4/mmm, No. 123
formation energy = 0.870 eV/atom

```
Nb2GeIrPt
1.0
4.7210 0.0000 0.0000
0.0000 4.7210 0.0000
0.0000 0.0000 4.4417
Nb Ge Ir Pt
2 1 1 1
Direct
0.0000 0.5000 0.0000
0.5000 0.0000 0.0000
0.0000 0.0000 0.0000
0.0000 0.0000 0.5000
0.5000 0.5000 0.5000
```

---

First-principles (PBE-GGA) data for NbGe2IrPt after structural relaxation, as listed in Alexandria via LeMat-Bulk.

Values from the calculation:
space group = P4/mmm, No. 123
formation energy = 0.663 eV/atom

```
NbGe2IrPt
1.0
4.6012 0.0000 0.0000
0.0000 4.6012 0.0000
0.0000 0.0000 5.0887
Nb Ge Ir Pt
1 2 1 1
Direct
0.0000 0.0000 0.0000
0.0000 0.5000 0.5000
0.5000 0.0000 0.5000
0.0000 0.0000 0.5000
0.5000 0.5000 0.0000
```

---

First-principles (PBE-GGA) data for Pu2NbGe4Ir3 after structural relaxation, as listed in Alexandria via LeMat-Bulk.

Values from the calculation:
space group = P-4m2, No. 115
formation energy = -0.499 eV/atom

```
Pu2NbGe4Ir3
1.0
4.1743 0.0000 0.0000
0.0000 4.1743 0.0000
0.0000 0.0000 10.8079
Pu Nb Ge Ir
2 1 4 3
Direct
0.0000 0.5000 0.2448
0.5000 0.0000 0.7552
0.0000 0.0000 0.5000
0.0000 0.0000 0.0000
0.0000 0.5000 0.6473
0.5000 0.0000 0.3527
0.5000 0.5000 0.0000
0.0000 0.5000 0.8745
0.5000 0.0000 0.1255
0.5000 0.5000 0.5000
```

---

First-principles (PBE-GGA) data for NbGeIr2S after structural relaxation, as listed in Alexandria via LeMat-Bulk.

Values from the calculation:
space group = P4/mmm, No. 123
formation energy (no corrections) = 1.12 eV/atom

```
NbGeIr2S
1.0
4.5265 0.0000 0.0000
0.0000 4.5265 0.0000
0.0000 0.0000 4.6818
Nb Ge Ir S
1 1 2 1
Direct
0.0000 0.0000 0.0000
0.5000 0.5000 0.5000
0.0000 0.5000 0.5000
0.5000 0.0000 0.5000
0.5000 0.5000 0.0000
```

---

First-principles (PBE-GGA) data for ScNbGe2Ir after structural relaxation, as listed in Alexandria via LeMat-Bulk.

Values from the calculation:
space group = P4/mmm, No. 123
formation energy = 0.513 eV/atom

```
ScNbGe2Ir
1.0
4.7457 0.0000 0.0000
0.0000 4.7457 0.0000
0.0000 0.0000 4.9635
Sc Nb Ge Ir
1 1 2 1
Direct
0.0000 0.0000 0.0000
0.5000 0.5000 0.0000
0.0000 0.5000 0.5000
0.5000 0.0000 0.5000
0.0000 0.0000 0.5000
```

---

no.,total moment (μB/cell)
1,1.1
2,0.0
3,0.0
4,0.0
5,0.0
6,10.4
7,0.0
8,3.1